[1]
VASP calculation (PBE) on a relaxed structure of AcHoNO.

a = 4.537 Å, b = 4.537 Å, c = 8.918 Å
α = 90.00°, β = 90.00°, γ = 90.00°
Atoms (fractional coordinates):
O 0.250 0.750 0.000
O 0.750 0.250 0.000
Ac 0.250 0.250 0.122
Ac 0.750 0.750 0.878
Ho 0.250 0.750 0.500
Ho 0.750 0.250 0.500
N 0.750 0.750 0.456
N 0.250 0.250 0.544

V (Å³/atom): 22.95
Magnetic moment (μB/f.u.): 0.01
Excess energy over the best structure of this formula in the dataset (meV per atom): 193



[2]
VASP calculation (PBE) on a relaxed structure of AcHoNO.

a = 4.051 Å, b = 5.877 Å, c = 6.956 Å
α = 90.00°, β = 90.00°, γ = 90.00°
Atoms (fractional coordinates):
O 0.500 0.866 0.876
O 0.500 0.366 0.124
Ho 0.500 0.994 0.173
Ho 0.500 0.494 0.827
Ac 0.000 0.480 0.342
Ac 0.000 0.980 0.658
N 0.000 0.914 0.299
N 0.000 0.414 0.701

V (Å³/atom): 20.70
Magnetic moment (μB/f.u.): 0.73
Excess energy over the best structure of this formula in the dataset (meV per atom): 27



[3]
VASP calculation (PBE) on a relaxed structure of AcHoNO.

a = 4.092 Å, b = 5.544 Å, c = 7.119 Å
α = 90.00°, β = 90.00°, γ = 90.00°
Atoms (fractional coordinates):
N 0.000 0.880 0.361
N 0.000 0.380 0.639
O 0.500 0.940 0.790
O 0.500 0.440 0.210
Ac 0.500 0.957 0.166
Ac 0.500 0.457 0.834
Ho 0.000 0.976 0.663
Ho 0.000 0.476 0.337

V (Å³/atom): 20.19
Magnetic moment (μB/f.u.): 0.88
Excess energy over the best structure of this formula in the dataset (meV per atom): 5



[4]
VASP calculation (PBE) on a relaxed structure of AcHoNO.

a = 4.875 Å, b = 4.875 Å, c = 6.243 Å
α = 90.00°, β = 90.00°, γ = 90.00°
Atoms (fractional coordinates):
N 0.000 0.500 0.630
N 0.500 0.000 0.370
Ac 0.500 0.500 0.500
Ac 0.000 0.000 0.500
O 0.000 0.000 0.000
O 0.500 0.500 0.000
Ho 0.000 0.500 0.969
Ho 0.500 0.000 0.031

V (Å³/atom): 18.55
Magnetic moment (μB/f.u.): 0.01
Excess energy over the best structure of this formula in the dataset (meV per atom): 141



[5]
VASP calculation (PBE) on a relaxed structure of NaAcHo.

a = 5.690 Å, b = 5.690 Å, c = 5.690 Å
α = 60.00°, β = 60.00°, γ = 60.00°
Atoms (fractional coordinates):
Ho 0.250 0.250 0.250
Ac 0.000 0.000 0.000
Na 0.750 0.750 0.750

V (Å³/atom): 43.42
Magnetic moment (μB/f.u.): 0.02
Excess energy over the best structure of this formula in the dataset (meV per atom): 247



[6]
VASP calculation (PBE) on a relaxed structure of NaAcHo.

a = 5.552 Å, b = 5.552 Å, c = 5.552 Å
α = 60.00°, β = 60.00°, γ = 60.00°
Atoms (fractional coordinates):
Na 0.000 0.000 0.000
Ho 0.750 0.750 0.750
Ac 0.250 0.250 0.250

V (Å³/atom): 40.33
Magnetic moment (μB/f.u.): 0.03
Excess energy over the best structure of this formula in the dataset (meV per atom): 0



| no. | E_tot (eV per atom) | density (g cm⁻³) |
| --- | --- | --- |
| 1 | -7.330 | 7.6 |
| 2 | -7.496 | 8.5 |
| 3 | -7.518 | 8.7 |
| 4 | -7.382 | 9.4 |
| 5 | -2.370 | 5.3 |
| 6 | -2.616 | 5.7 |